VASP calculation (PBE) on a relaxed structure of BaCoHgTe3.

Values from the calculation:
E above lowest polymorph (meV/atom): 111.4
Volume (Å³/cell): 751.5

a = 4.206 Å, b = 14.867 Å, c = 12.017 Å
α = 90.00°, β = 90.00°, γ = 90.00°
Space group Cmcm (No. 63)
Symmetry-distinct sites (fractional):
1 Ba 0.000 0.211 0.250 x4
2 Co 0.000 0.000 0.000 x4
3 Hg 0.000 0.481 0.750 x4
4 Te 0.000 0.108 0.750 x4
5 Te 0.000 0.392 0.539 x8



VASP calculation (PBE) on a relaxed structure of BaCoHgTe3.

Values from the calculation:
E above lowest polymorph (meV/atom): 0.0
Volume (Å³/cell): 729.9

a = 4.486 Å, b = 13.407 Å, c = 12.135 Å
α = 90.00°, β = 90.00°, γ = 90.00°
Space group Cmcm (No. 63)
Symmetry-distinct sites (fractional):
1 Ba 0.000 0.203 0.250 x4
2 Co 0.000 0.090 0.750 x4
3 Hg 0.000 0.500 0.000 x4
4 Te 0.000 0.168 0.565 x8
5 Te 0.000 0.490 0.250 x4



VASP calculation (PBE) on a relaxed structure of BaHoCo.

Values from the calculation:
E above lowest polymorph (meV/atom): 847.6
Volume (Å³/cell): 329.3

a = 6.906 Å, b = 6.906 Å, c = 6.906 Å
α = 90.00°, β = 90.00°, γ = 90.00°
Space group F-43m (No. 216)
Symmetry-distinct sites (fractional):
1 Ba 0.000 0.000 0.000 x4
2 Ho 0.250 0.250 0.250 x4
3 Co 0.250 0.250 0.750 x4



VASP calculation (PBE) on a relaxed structure of BaHoCo.

Values from the calculation:
E above lowest polymorph (meV/atom): 0.0
Volume (Å³/cell): 350.4

a = 7.050 Å, b = 7.050 Å, c = 7.050 Å
α = 90.00°, β = 90.00°, γ = 90.00°
Space group F-43m (No. 216)
Symmetry-distinct sites (fractional):
1 Ba 0.000 0.000 0.000 x4
2 Ho 0.000 0.000 0.500 x4
3 Co 0.250 0.250 0.250 x4



no.,calculated total energy (eV per atom),size of the total moment (μB per formula unit)
1,-3.477,1.275
2,-3.588,0.023
3,-3.283,0.131
4,-4.131,0.001